DFT (GGA-PBE) results for a relaxed TmCu2Ir crystal.

Results
Energy above the most stable polymorph in this dataset = 68 meV/atom
Formation enthalpy at 0 K = -1.1 eV/f.u.

a = 4.4642 Å, b = 4.4642 Å, c = 4.4642 Å
α = 60.00°, β = 60.00°, γ = 60.00°
With the nearest neighbours (Å) after each atom.
Sites, in units of the cell vectors:
Ir1 0.0000 0.0000 0.0000  8 Cu 2.73
Cu1 0.2500 0.2500 0.2500  4 Tm 2.73, 4 Ir 2.73
Cu2 0.7500 0.7500 0.7500  4 Ir 2.73, 4 Tm 2.73
Tm1 0.5000 0.5000 0.5000  8 Cu 2.73